Rb2VBiO4: optimized geometry, GGA+U.

Values from the calculation:
The space group is Fddd.

Structure (CIF):
```
data_Rb2VBiO4
_symmetry_space_group_name_H-M 'P 1'
_symmetry_Int_Tables_number 1
_cell_length_a 6.417
_cell_length_b 7.034
_cell_length_c 11.256
_cell_angle_alpha 82.53
_cell_angle_beta 73.44
_cell_angle_gamma 62.86
loop_
_symmetry_equiv_pos_as_xyz
'x,y,z'
loop_
_atom_site_label
_atom_site_type_symbol
_atom_site_fract_x
_atom_site_fract_y
_atom_site_fract_z
_atom_site_occupancy
Rb1 Rb 0.187 0.000 0.627 1
Rb2 Rb 0.813 0.000 0.373 1
Rb3 Rb 0.563 0.500 0.873 1
Rb4 Rb 0.937 0.500 0.127 1
V1 V 0.250 0.500 0.500 1
V2 V 0.500 0.000 0.000 1
Bi1 Bi 0.750 0.500 0.500 1
Bi2 Bi 0.000 0.000 0.000 1
O1 O 0.372 0.836 0.086 1
O2 O 0.294 0.164 0.914 1
O3 O 0.792 0.836 0.914 1
O4 O 0.542 0.164 0.086 1
O5 O 0.378 0.664 0.414 1
O6 O 0.456 0.336 0.586 1
O7 O 0.958 0.664 0.586 1
O8 O 0.208 0.336 0.414 1
```

=====

Rb2BiW3O12: optimized geometry, GGA+U.

Values from the calculation:
The space group is R-3m.

Structure (CIF):
```
data_Rb2BiW3O12
_symmetry_space_group_name_H-M 'P 1'
_symmetry_Int_Tables_number 1
_cell_length_a 7.614
_cell_length_b 7.614
_cell_length_c 7.614
_cell_angle_alpha 58.95
_cell_angle_beta 58.95
_cell_angle_gamma 58.95
loop_
_symmetry_equiv_pos_as_xyz
'x,y,z'
loop_
_atom_site_label
_atom_site_type_symbol
_atom_site_fract_x
_atom_site_fract_y
_atom_site_fract_z
_atom_site_occupancy
Rb1 Rb 0.631 0.631 0.631 1
Rb2 Rb 0.369 0.369 0.369 1
Bi1 Bi 0.000 0.000 0.000 1
W1 W 0.500 0.000 0.000 1
W2 W 0.000 0.500 0.000 1
W3 W 0.000 0.000 0.500 1
O1 O 0.301 0.301 0.934 1
O2 O 0.920 0.920 0.356 1
O3 O 0.356 0.920 0.920 1
O4 O 0.934 0.301 0.301 1
O5 O 0.920 0.356 0.920 1
O6 O 0.301 0.934 0.301 1
O7 O 0.699 0.699 0.066 1
O8 O 0.080 0.080 0.644 1
O9 O 0.644 0.080 0.080 1
O10 O 0.066 0.699 0.699 1
O11 O 0.080 0.644 0.080 1
O12 O 0.699 0.066 0.699 1
```

=====

Results for DFT total energy: -43.8 -120.8 (in eV/f.u., following the order of the records).